No. 1
Computed, not measured: a relaxed structure of TiSiBi2Cl at the GGA-PBE level of DFT.

Structure (POSCAR):
```
TiSiBi2Cl
1.0
-2.848 -0.652 4.827
-0.371 -4.331 -0.804
4.848 -0.923 2.736
Bi Ti Si Cl
2 1 1 1
direct
0.500 0.000 0.000
0.000 0.000 0.500
0.000 0.500 0.000
0.500 0.500 0.500
0.000 0.000 0.000
```

Summary:
- formation energy from raw total energies (meV/atom) = 737
- energy (eV for the cell shown) = -19.2



No. 2
Computed, not measured: a relaxed structure of Rb4Np3ScO12 at the GGA-PBE level of DFT.

Structure (POSCAR):
```
Rb4Np3ScO12
1.0
7.409 0.000 0.000
-2.470 6.985 0.000
-2.470 -3.493 6.050
O Rb Np Sc
12 4 3 1
direct
0.750 0.250 0.500
0.250 0.500 0.750
0.250 0.750 0.500
0.750 0.500 0.250
0.740 0.000 0.740
0.260 0.000 0.260
0.500 0.750 0.250
0.000 0.740 0.740
0.260 0.260 0.000
0.000 0.260 0.260
0.500 0.250 0.750
0.740 0.740 0.000
0.000 0.000 0.500
0.000 0.500 0.000
0.500 0.000 0.000
0.500 0.500 0.500
0.500 0.000 0.500
0.500 0.500 0.000
0.000 0.500 0.500
0.000 0.000 0.000
```

Summary:
- formation energy from raw total energies (meV/atom) = -2660
- energy (eV for the cell shown) = -161.7



No. 3
Computed, not measured: a relaxed structure of TbEr2Tm at the GGA-PBE level of DFT.

Structure (POSCAR):
```
TbEr2Tm
1.0
-0.850 -3.059 -1.495
2.323 -2.631 -0.058
-3.533 -5.670 9.490
Er Tb Tm
2 1 1
direct
0.251 0.251 0.248
0.749 0.749 0.752
0.500 0.500 0.500
0.000 0.000 0.000
```

Summary:
- energy (eV for the cell shown) = -18.1
- energy of formation (eV per atom) = 0.02



No. 4
Computed, not measured: a relaxed structure of SrPtRh at the GGA-PBE level of DFT.

Structure (POSCAR):
```
SrPtRh
1.0
4.968 0.318 -0.752
-1.870 4.614 0.752
-2.912 -1.610 5.623
Pt Sr Rh
2 2 2
direct
0.734 0.019 0.752
0.266 0.981 0.248
0.224 0.628 0.852
0.776 0.372 0.148
0.000 0.000 0.500
0.500 0.500 0.500
```

Summary:
- energy (eV for the cell shown) = -31.4
- energy of formation (eV per atom) = -0.21



No. 5
Computed, not measured: a relaxed structure of RbSr3Cu4I12 at the GGA-PBE level of DFT.

Structure (POSCAR):
```
RbSr3Cu4I12
1.0
10.267 -0.033 -0.046
-2.506 9.957 -0.046
-2.506 -3.204 9.427
I Rb Cu Sr
12 1 4 3
direct
0.652 0.783 0.022
0.655 0.500 0.345
0.500 0.096 0.904
0.904 0.500 0.096
0.783 0.022 0.652
0.500 0.345 0.655
0.217 0.348 0.978
0.348 0.978 0.217
0.345 0.655 0.500
0.096 0.904 0.500
0.022 0.652 0.783
0.978 0.217 0.348
0.000 0.000 0.000
0.500 0.936 0.064
0.064 0.500 0.936
0.500 0.500 0.500
0.936 0.064 0.500
0.448 0.000 0.552
0.552 0.448 0.000
0.000 0.552 0.448
```

Summary:
- formation energy from raw total energies (meV/atom) = -916
- energy (eV for the cell shown) = -59.3



No. 6
Computed, not measured: a relaxed structure of CdCu2W at the GGA-PBE level of DFT.

Structure (POSCAR):
```
CdCu2W
1.0
5.523 0.001 0.003
2.602 4.871 -0.003
-3.253 -3.786 2.364
Cd Cu W
1 2 1
direct
0.250 0.750 0.500
0.992 0.992 0.000
0.508 0.508 0.000
0.750 0.250 0.500
```

Summary:
- energy (eV for the cell shown) = -19.7
- energy of formation (eV per atom) = 0.59



No. 7
Computed, not measured: a relaxed structure of MgInNO2 at the GGA-PBE level of DFT.

Structure (POSCAR):
```
MgInNO2
1.0
-0.540 -3.798 0.722
3.794 -0.380 0.836
-0.777 0.854 3.913
O N In Mg
2 1 1 1
direct
0.000 0.500 0.000
0.500 0.000 0.000
0.000 0.000 0.500
0.500 0.500 0.500
0.000 0.000 0.000
```

Summary:
- formation energy from raw total energies (meV/atom) = -146
- energy (eV for the cell shown) = -23.3



No. 8
Computed, not measured: a relaxed structure of Pu2InRh at the GGA-PBE level of DFT.

Structure (POSCAR):
```
Pu2InRh
1.0
4.649 0.000 0.000
0.000 4.312 0.000
0.000 0.000 4.312
Rh In Pu
1 1 2
direct
0.500 0.000 0.000
0.500 0.500 0.500
0.000 0.000 0.500
0.000 0.500 0.000
```

Summary:
- energy (eV for the cell shown) = -39.6
- energy of formation (eV per atom) = -0.21



No. 9
Computed, not measured: a relaxed structure of Pm4AsCI2 at the GGA-PBE level of DFT.

Structure (POSCAR):
```
Pm4AsCI2
1.0
-3.647 1.741 -0.145
-1.159 -2.964 -6.454
-2.701 -5.200 5.475
As Pm I C
1 4 2 1
direct
0.000 0.000 0.000
0.000 0.302 0.822
0.500 0.736 0.817
0.500 0.264 0.183
0.000 0.698 0.178
0.500 0.000 0.500
0.000 0.500 0.500
0.500 0.500 0.000
```

Summary:
- formation energy from raw total energies (meV/atom) = -1001
- energy (eV for the cell shown) = -44.0



No. 10
Computed, not measured: a relaxed structure of DyHoTe3 at the GGA-PBE level of DFT.

Structure (POSCAR):
```
DyHoTe3
1.0
-2.846 0.853 -2.991
2.686 -6.705 -1.496
-7.694 -4.433 6.057
Te Ho Dy
6 2 2
direct
0.352 0.704 0.933
0.096 0.192 0.750
0.648 0.296 0.067
0.352 0.704 0.567
0.648 0.296 0.433
0.904 0.808 0.250
0.000 0.000 0.500
0.000 0.000 0.000
0.753 0.507 0.750
0.247 0.493 0.250
```

Summary:
- formation energy from raw total energies (meV/atom) = -1348
- energy (eV for the cell shown) = -50.7



No. 11
Computed, not measured: a relaxed structure of LiSmTl2Cl6 at the GGA-PBE level of DFT.

Structure (POSCAR):
```
LiSmTl2Cl6
1.0
7.315 0.000 -0.008
0.000 7.501 0.000
0.056 0.000 10.407
Cl Tl Li Sm
12 4 2 2
direct
0.927 0.514 0.255
0.791 0.794 0.963
0.704 0.290 0.963
0.709 0.294 0.537
0.291 0.706 0.463
0.204 0.210 0.463
0.796 0.790 0.537
0.427 0.986 0.755
0.073 0.486 0.745
0.296 0.710 0.037
0.573 0.014 0.245
0.209 0.206 0.037
0.013 0.944 0.252
0.987 0.056 0.748
0.513 0.556 0.752
0.487 0.444 0.248
0.500 0.000 0.000
0.000 0.500 0.500
0.500 0.000 0.500
0.000 0.500 0.000
```

Summary:
- formation energy from raw total energies (meV/atom) = -1691
- energy (eV for the cell shown) = -78.7



No. 12
Computed, not measured: a relaxed structure of ZrCr2Br at the GGA-PBE level of DFT.

Structure (POSCAR):
```
ZrCr2Br
1.0
5.334 0.265 0.000
2.068 4.924 0.000
-3.701 -2.594 2.844
Zr Br Cr
1 1 2
direct
0.500 0.500 0.000
0.750 0.250 0.500
0.000 0.000 0.000
0.250 0.750 0.500
```

Summary:
- formation energy from raw total energies (meV/atom) = 715
- energy (eV for the cell shown) = -26.6



| no. | magnetic moment (μB/f.u.) |
| --- | --- |
| 1 | 1.43 |
| 2 | 4.00 |
| 3 | 0.00 |
| 4 | 0.00 |
| 5 | 1.11 |
| 6 | 0.00 |
| 7 | 2.25 |
| 8 | 11.00 |
| 9 | 0.00 |
| 10 | 0.00 |
| 11 | 0.00 |
| 12 | 6.09 |